(1)
## TmNp2Ga9 (PBE-GGA)

Data for an optimized crystal structure of TmNp2Ga9.

The volume comes out at 19.4 A^3/atom. The value obtained for the formation energy is -0.16 eV per atom. The calculation puts the polymorph energy (0 for the lowest one) at 153 meV per atom.

It has space group R-3m (No. 166, hexagonal axes), with a = 5.4442 Å, b = 5.4442 Å, c = 27.1537 Å, α = 90.00°, β = 90.00° and γ = 120.00°. The inequivalent atoms are Tm at (0.0000, 0.0000, 0.0000), Np at (0.0000, 0.0000, 0.1443), Ga at (0.0000, 0.0000, 0.3346), Ga at (0.0000, 0.0000, 0.5000) and Ga at (0.0058, 0.5029, 0.9155).

(2)
## Tm3NpGa12 (PBE-GGA)

Data for an optimized crystal structure of Tm3NpGa12.

The volume comes out at 19.1 A^3/atom. The value obtained for the formation energy is -0.44 eV per atom.

It has space group P4/mmm (No. 123), with a = 4.229 Å, b = 4.229 Å, c = 17.053 Å, α = 90.00°, β = 90.00° and γ = 90.00°. The inequivalent atoms are Tm at (0.000, 0.000, 0.000), Tm at (0.000, 0.000, 0.249), Np at (0.000, 0.000, 0.500), Ga at (0.000, 0.500, 0.125), Ga at (0.000, 0.500, 0.375), Ga at (0.500, 0.500, 0.000), Ga at (0.500, 0.500, 0.250) and Ga at (0.500, 0.500, 0.500).

(3)
## TmNpGa2 (PBE-GGA)

Data for an optimized crystal structure of TmNpGa2.

The volume comes out at 21.5 A^3/atom. The value obtained for the formation energy is -0.26 eV per atom. The calculation puts the polymorph energy (0 for the lowest one) at 0 meV per atom.

It has space group P4/mmm (No. 123), with a = 3.225 Å, b = 3.225 Å, c = 8.267 Å, α = 90.00°, β = 90.00° and γ = 90.00°. The inequivalent atoms are Tm at (0.000, 0.000, 0.000), Np at (0.000, 0.000, 0.500) and Ga at (0.500, 0.500, 0.246).